Record 1
This record from Alexandria via LeMat-Bulk describes Cs2LiTcCl6 after structural relaxation. The functional is GGA-PBE.

**Formation energy without anion corrections**: -1.434 eV/atom
**Spin magnetization**: 0.20 μB per atom

Cell lengths 7.3728, 7.3728, 35.9683 Å; angles 90.00, 90.00, 120.00 degrees
Space group R-3m (No. 166, hexagonal axes)
Asymmetric unit:
Cs 0.0000 0.0000 0.1255
Cs 0.0000 0.0000 0.2915
Li 0.0000 0.0000 0.4168
Tc 0.0000 0.0000 0.0000
Tc 0.0000 0.0000 0.5000
Cl 0.0219 0.5109 0.7055
Cl 0.0273 0.5136 0.1267



Record 2
This record from Alexandria via LeMat-Bulk describes VCuSb after structural relaxation. The functional is GGA-PBE.

**Excess energy over the best structure of this formula in the dataset**: 38.9 kJ/mol of formula units
**Formation energy without anion corrections**: 0.064 eV/atom
**Spin magnetization**: 0.00 μB per atom

Cell lengths 8.744, 3.487, 8.415 Å; angles 90.00, 120.20, 90.00 degrees
Space group Cm (No. 8)
Asymmetric unit:
V 0.000 0.000 0.000
V 0.142 0.500 0.890
Cu 0.359 0.000 0.133
Cu 0.438 0.500 0.620
Sb 0.217 0.500 0.269
Sb 0.276 0.000 0.727



Record 3
This record from Alexandria via LeMat-Bulk describes La3PbO after structural relaxation. The functional is GGA-PBE.

**Formation energy without anion corrections**: -0.084 eV/atom
**Spin magnetization**: 0.00 μB per atom

Cell lengths 5.482, 5.482, 25.103 Å; angles 90.00, 90.00, 90.00 degrees
Space group I-4m2 (No. 119)
Asymmetric unit:
La 0.000 0.000 0.191
La 0.000 0.243 0.621
Pb 0.000 0.000 0.500
Pb 0.000 0.500 0.750
O 0.000 0.500 0.157



Record 4
This record from Alexandria via LeMat-Bulk describes NdYUO6 after structural relaxation. The functional is GGA-PBE.

**Formation energy without anion corrections**: -3.322 eV/atom
**Spin magnetization**: 0.00 μB per atom

Cell lengths 5.8281, 5.8281, 9.7060 Å; angles 90.00, 90.00, 120.00 degrees
Space group P-31c (No. 163)
Asymmetric unit:
Nd 0.0000 0.0000 0.0000
Y 0.3333 0.6667 0.2500
U 0.3333 0.6667 0.7500
O 0.0235 0.3621 0.6370



Record 5
This record from Alexandria via LeMat-Bulk describes ScTlB2 after structural relaxation. The functional is GGA-PBE.

**Excess energy over the best structure of this formula in the dataset**: 0.0 kJ/mol of formula units
**Energy relative to the elements**: 0.8698 eV/atom
**Spin magnetization**: 0.00 μB per atom

Cell lengths 3.970, 3.970, 17.623 Å; angles 90.00, 90.00, 90.00 degrees
Space group I4_1/amd (No. 141, origin choice 2)
Asymmetric unit:
Sc 0.000 0.250 0.375
Tl 0.000 0.250 0.875
B 0.000 0.000 0.500



Record 6
This record from Alexandria via LeMat-Bulk describes LaHo6Cd2 after structural relaxation. The functional is GGA-PBE.

**Excess energy over the best structure of this formula in the dataset**: 0.0 kJ/mol of formula units
**Energy relative to the elements**: -0.1233 eV/atom
**Spin magnetization**: 0.00 μB per atom

Cell lengths 12.697, 3.729, 11.920 Å; angles 90.00, 108.00, 90.00 degrees
Space group C2/m (No. 12)
Asymmetric unit:
La 0.000 0.000 0.000
Ho 0.014 0.000 0.343
Ho 0.186 0.500 0.875
Ho 0.187 0.500 0.581
Cd 0.152 0.500 0.222



Record 7
This record from Alexandria via LeMat-Bulk describes LaLuRh2 after structural relaxation. The functional is GGA-PBE.

**Energy relative to the elements**: -0.7969 eV/atom
**Spin magnetization**: 0.00 μB per atom

Cell lengths 3.410, 3.410, 7.183 Å; angles 90.00, 90.00, 90.00 degrees
Space group P4/mmm (No. 123)
Asymmetric unit:
La 0.000 0.000 0.000
Lu 0.000 0.000 0.500
Rh 0.500 0.500 0.275



Record 8
This record from Alexandria via LeMat-Bulk describes Th2Cu3Pd after structural relaxation. The functional is GGA-PBE.

**Excess energy over the best structure of this formula in the dataset**: 0.0 kJ/mol of formula units
**Energy relative to the elements**: -0.3735 eV/atom
**Spin magnetization**: 0.00 μB per atom

Cell lengths 7.172, 8.740, 15.406 Å; angles 90.00, 90.00, 90.00 degrees
Space group Fmmm (No. 69)
Asymmetric unit:
Th 0.248 0.000 0.000
Th 0.250 0.250 0.250
Cu 0.000 0.000 0.338
Cu 0.000 0.244 0.419
Pd 0.000 0.000 0.168